Below is NaEuCl4 after structural relaxation, with properties calculated at the PBE level.

## Properties
**Crystal system**: triclinic
**Fermi-level density of states**: 11.435 states/eV/f.u.
**Uncorrected formation energy**: -1.837 eV/atom

Lattice parameters (Å, degrees): 6.958 6.978 6.991 89.10 87.22 77.32
Sites, in units of the cell vectors:
Na (0.218, 0.182, 0.037)
Na (0.782, 0.818, 0.963)
Eu (0.213, 0.693, 0.450)
Eu (0.787, 0.307, 0.550)
Cl (0.046, 0.491, 0.747)
Cl (0.068, 0.990, 0.727)
Cl (0.417, 0.796, 0.139)
Cl (0.440, 0.310, 0.368)
Cl (0.560, 0.690, 0.632)
Cl (0.583, 0.204, 0.861)
Cl (0.932, 0.010, 0.273)
Cl (0.954, 0.509, 0.253)

Below is CrFeRu after structural relaxation, with properties calculated at the PBE level.

## Properties
**Formation energy**: 23 kJ/mol of atoms
**Crystal system**: orthorhombic
**Fermi-level density of states**: 4.136 states/eV/f.u.
**Distance to the lowest polymorph of the same formula**: 148 meV/atom

Lattice parameters (Å, degrees): 6.547 6.359 2.572 82.64 74.43 22.93
Sites, in units of the cell vectors:
Cr (0.000, 0.000, 0.000)
Fe (0.659, 0.659, 0.341)
Ru (0.333, 0.333, 0.667)

Below is Nd3S3Br2 after structural relaxation, with properties calculated at the PBE level.

## Properties
**Crystal system**: orthorhombic
**Fermi-level density of states**: 2.392 states/eV/f.u.
**Uncorrected formation energy**: -1.598 eV/atom

Lattice parameters (Å, degrees): 11.065 11.065 11.065 160.47 155.12 31.83
Sites, in units of the cell vectors:
Nd (0.000, 0.000, 0.000)
Nd (0.352, 0.852, 0.500)
Nd (0.648, 0.148, 0.500)
S (0.110, 0.610, 0.500)
S (0.500, 0.500, 0.000)
S (0.890, 0.390, 0.500)
Br (0.238, 0.238, 0.000)
Br (0.762, 0.762, 0.000)

Below is Zr4Tl2In after structural relaxation, with properties calculated at the PBE level.

## Properties
**Formation energy**: 13 kJ/mol of atoms
**Crystal system**: orthorhombic
**Fermi-level density of states**: 5.890 states/eV/f.u.
**Distance to the lowest polymorph of the same formula**: 150 meV/atom

Lattice parameters (Å, degrees): 7.591 6.218 6.097 76.10 52.67 51.23
Sites, in units of the cell vectors:
Zr (0.220, 0.220, 0.780)
Zr (0.250, 0.250, 0.250)
Zr (0.750, 0.750, 0.750)
Zr (0.780, 0.780, 0.220)
Tl (0.185, 0.815, 0.185)
Tl (0.815, 0.185, 0.815)
In (0.500, 0.500, 0.500)

Below is Na2Ag2Bi3 after structural relaxation, with properties calculated at the PBE level.

## Properties
**Formation energy**: -9 kJ/mol of atoms
**Crystal system**: monoclinic
**Fermi-level density of states**: 2.761 states/eV/f.u.

Lattice parameters (Å, degrees): 6.355 6.355 8.065 111.85 111.85 42.87
Sites, in units of the cell vectors:
Na (0.153, 0.153, 0.303)
Na (0.847, 0.847, 0.697)
Ag (0.136, 0.136, 0.735)
Ag (0.864, 0.864, 0.265)
Bi (0.382, 0.382, 0.042)
Bi (0.500, 0.500, 0.500)
Bi (0.618, 0.618, 0.958)

Below is Ac2NdSm after structural relaxation, with properties calculated at the PBE level.

## Properties
**Formation energy**: 3 kJ/mol of atoms
**Crystal system**: orthorhombic
**Fermi-level density of states**: 5.882 states/eV/f.u.
**Distance to the lowest polymorph of the same formula**: 0 meV/atom

Lattice parameters (Å, degrees): 3.861 5.275 7.721 90.00 90.00 90.00
Sites, in units of the cell vectors:
Ac (0.000, 0.000, 0.249)
Ac (0.000, 0.000, 0.751)
Nd (0.500, 0.500, 0.500)
Sm (0.500, 0.500, 0.000)

Below is PrNd4Er2 after structural relaxation, with properties calculated at the PBE level.

## Properties
**Formation energy**: 6 kJ/mol of atoms
**Crystal system**: orthorhombic
**Fermi-level density of states**: 10.434 states/eV/f.u.

Lattice parameters (Å, degrees): 12.651 6.859 13.638 67.03 29.95 83.02
Sites, in units of the cell vectors:
Pr (0.000, 0.000, 0.000)
Pr (0.250, 0.250, 0.250)
Nd (0.080, 0.495, 0.133)
Nd (0.117, 0.958, 0.170)
Nd (0.490, 0.535, 0.366)
Nd (0.495, 0.080, 0.292)
Nd (0.535, 0.490, 0.608)
Nd (0.642, 0.884, 0.715)
Nd (0.884, 0.642, 0.760)
Nd (0.958, 0.117, 0.755)
Er (0.054, 0.569, 0.879)
Er (0.371, 0.752, 0.196)
Er (0.569, 0.054, 0.498)
Er (0.752, 0.371, 0.681)

Below is Tb2ErSc4 after structural relaxation, with properties calculated at the PBE level.

## Properties
**Formation energy**: 17 kJ/mol of atoms
**Crystal system**: orthorhombic
**Fermi-level density of states**: 11.405 states/eV/f.u.

Lattice parameters (Å, degrees): 10.627 10.627 5.226 90.00 90.00 160.39
Sites, in units of the cell vectors:
Tb (0.073, 0.927, 0.000)
Tb (0.927, 0.073, 0.000)
Er (0.500, 0.500, 0.500)
Sc (0.181, 0.819, 0.500)
Sc (0.303, 0.697, 0.000)
Sc (0.697, 0.303, 0.000)
Sc (0.819, 0.181, 0.500)

Below is Ca2La3Pr7 after structural relaxation, with properties calculated at the PBE level.

## Properties
**Formation energy**: 9 kJ/mol of atoms
**Crystal system**: monoclinic
**Fermi-level density of states**: 17.600 states/eV/f.u.

Lattice parameters (Å, degrees): 6.147 3.674 20.015 90.00 93.12 90.00
Sites, in units of the cell vectors:
Ca (0.216, 0.000, 0.294)
Ca (0.784, 0.000, 0.706)
La (0.000, 0.000, 0.000)
La (0.273, 0.500, 0.629)
La (0.727, 0.500, 0.371)
Pr (0.191, 0.500, 0.141)
Pr (0.244, 0.000, 0.467)
Pr (0.305, 0.000, 0.827)
Pr (0.500, 0.500, 0.000)
Pr (0.695, 0.000, 0.173)
Pr (0.756, 0.000, 0.533)
Pr (0.809, 0.500, 0.859)

Below is NaLi2MgOs after structural relaxation, with properties calculated at the PBE level.

## Properties
**Formation energy**: 105 kJ/mol of atoms
**Crystal system**: tetragonal
**Fermi-level density of states**: 3.044 states/eV/f.u.

Lattice parameters (Å, degrees): 4.299 4.299 5.060 90.00 90.00 90.00
Sites, in units of the cell vectors:
Na (0.000, 0.000, 0.000)
Li (0.000, 0.500, 0.000)
Li (0.500, 0.000, 0.000)
Mg (0.500, 0.500, 0.500)
Os (0.000, 0.000, 0.500)

Below is ErZr2Se6 after structural relaxation, with properties calculated at the PBE level.

## Properties
**Crystal system**: tetragonal
**Fermi-level density of states**: 5.604 states/eV/f.u.
**Uncorrected formation energy**: -1.232 eV/atom

Lattice parameters (Å, degrees): 6.522 6.522 11.911 90.00 90.00 90.00
Sites, in units of the cell vectors:
Er (0.000, 0.000, 0.000)
Er (0.500, 0.500, 0.500)
Zr (0.000, 0.000, 0.335)
Zr (0.000, 0.000, 0.665)
Zr (0.500, 0.500, 0.165)
Zr (0.500, 0.500, 0.835)
Se (0.195, 0.195, 0.500)
Se (0.205, 0.205, 0.176)
Se (0.205, 0.205, 0.824)
Se (0.295, 0.705, 0.324)
Se (0.295, 0.705, 0.676)
Se (0.305, 0.695, 0.000)
Se (0.695, 0.305, 0.000)
Se (0.705, 0.295, 0.324)
Se (0.705, 0.295, 0.676)
Se (0.795, 0.795, 0.176)
Se (0.795, 0.795, 0.824)
Se (0.805, 0.805, 0.500)

Below is Cu4SbW after structural relaxation, with properties calculated at the PBE level.

## Properties
**Crystal system**: cubic
**Fermi-level density of states**: 5.625 states/eV/f.u.
**Uncorrected formation energy**: 0.449 eV/atom

Lattice parameters (Å, degrees): 4.948 4.948 4.948 60.00 60.00 60.00
Sites, in units of the cell vectors:
Cu (0.376, 0.376, 0.376)
Cu (0.376, 0.376, 0.873)
Cu (0.376, 0.873, 0.376)
Cu (0.873, 0.376, 0.376)
Sb (0.000, 0.000, 0.000)
W (0.750, 0.750, 0.750)

| no. | mass density (g/cm³) |
| --- | --- |
| 1 | 3.18 |
| 2 | 9.10 |
| 3 | 6.01 |
| 4 | 8.49 |
| 5 | 7.27 |
| 6 | 7.90 |
| 7 | 7.29 |
| 8 | 5.58 |
| 9 | 5.46 |
| 10 | 4.46 |
| 11 | 5.40 |
| 12 | 10.85 |